--- w ---
Below is Sc4Ge2C after structural relaxation, with properties calculated at the PBE level.

Calculated values
spin magnetization	0.00	μB/f.u.
D(E_F)	1.20	states/eV per cell

CIF file:
```
data_Sc4Ge2C
_cell_length_a 4.343
_cell_length_b 4.343
_cell_length_c 14.244
_cell_angle_alpha 90.00
_cell_angle_beta 90.00
_cell_angle_gamma 90.00
_space_group_name_H-M_alt 'I 4/m m m'
_space_group_IT_number 139
_space_group_name_Hall '-I 4 2'
loop_
_atom_site_label
_atom_site_fract_x
_atom_site_fract_y
_atom_site_fract_z
Sc1 0.000 0.000 0.163
Sc2 0.000 0.500 0.000
Ge1 0.000 0.000 0.361
C1 0.000 0.000 0.000
```

--- x ---
Below is Sc4Ge2C after structural relaxation, with properties calculated at the PBE level.

Calculated values
spin magnetization	0.00	μB/f.u.
D(E_F)	12.07	states/eV per cell

CIF file:
```
data_Sc4Ge2C
_cell_length_a 10.698
_cell_length_b 3.706
_cell_length_c 7.650
_cell_angle_alpha 90.00
_cell_angle_beta 123.41
_cell_angle_gamma 90.00
_space_group_name_H-M_alt 'C 1 2/m 1'
_space_group_IT_number 12
_space_group_name_Hall '-C 2y'
loop_
_atom_site_label
_atom_site_fract_x
_atom_site_fract_y
_atom_site_fract_z
Sc1 0.081 0.000 0.342
Sc2 0.155 0.500 0.066
Ge1 0.132 0.500 0.662
C1 0.000 0.000 0.000
```

Quick ranking, most stable first: w, x.

--- w ---
Below is GeC2Se after structural relaxation, with properties calculated at the PBE level.

Calculated values
spin magnetization	0.00	μB/f.u.
D(E_F)	6.94	states/eV per cell

CIF file:
```
data_GeC2Se
_cell_length_a 5.794
_cell_length_b 5.794
_cell_length_c 5.794
_cell_angle_alpha 90.00
_cell_angle_beta 90.00
_cell_angle_gamma 90.00
_space_group_name_H-M_alt 'F m -3 m'
_space_group_IT_number 225
_space_group_name_Hall '-F 4 2 3'
loop_
_atom_site_label
_atom_site_fract_x
_atom_site_fract_y
_atom_site_fract_z
Ge1 0.000 0.000 0.000
C1 0.250 0.250 0.250
Se1 0.000 0.000 0.500
```

--- x ---
Below is GeC2Se after structural relaxation, with properties calculated at the PBE level.

Calculated values
spin magnetization	0.00	μB/f.u.
D(E_F)	4.99	states/eV per cell

CIF file:
```
data_GeC2Se
_cell_length_a 4.922
_cell_length_b 4.922
_cell_length_c 9.405
_cell_angle_alpha 90.00
_cell_angle_beta 90.00
_cell_angle_gamma 90.00
_space_group_name_H-M_alt 'I -4 2 d'
_space_group_IT_number 122
_space_group_name_Hall 'I -4 2bw'
loop_
_atom_site_label
_atom_site_fract_x
_atom_site_fract_y
_atom_site_fract_z
Ge1 0.000 0.000 0.000
C1 0.206 0.250 0.125
Se1 0.000 0.000 0.500
```

Quick ranking, most stable first: x, w.

--- w ---
Below is GeCSe2 after structural relaxation, with properties calculated at the PBE level.

Calculated values
spin magnetization	0.00	μB/f.u.
D(E_F)	7.12	states/eV per cell

CIF file:
```
data_GeCSe2
_cell_length_a 3.8276
_cell_length_b 3.8276
_cell_length_c 22.1844
_cell_angle_alpha 90.00
_cell_angle_beta 90.00
_cell_angle_gamma 120.00
_space_group_name_H-M_alt 'R -3 m'
_space_group_IT_number 166
_space_group_name_Hall '-R 3 2"'
loop_
_atom_site_label
_atom_site_fract_x
_atom_site_fract_y
_atom_site_fract_z
Ge1 0.0000 0.0000 0.0000
C1 0.0000 0.0000 0.5000
Se1 0.0000 0.0000 0.4208
```

--- x ---
Below is GeCSe2 after structural relaxation, with properties calculated at the PBE level.

Calculated values
spin magnetization	0.00	μB/f.u.
D(E_F)	6.03	states/eV per cell

CIF file:
```
data_GeCSe2
_cell_length_a 3.1551
_cell_length_b 3.1551
_cell_length_c 25.0248
_cell_angle_alpha 90.00
_cell_angle_beta 90.00
_cell_angle_gamma 120.00
_space_group_name_H-M_alt 'R -3 m'
_space_group_IT_number 166
_space_group_name_Hall '-R 3 2"'
loop_
_atom_site_label
_atom_site_fract_x
_atom_site_fract_y
_atom_site_fract_z
Ge1 0.0000 0.0000 0.0000
C1 0.0000 0.0000 0.5000
Se1 0.0000 0.0000 0.1112
```

Quick ranking, most stable first: w, x.

--- w ---
Below is GeCSe2 after structural relaxation, with properties calculated at the PBE level.

Calculated values
spin magnetization	0.00	μB/f.u.
D(E_F)	8.23	states/eV per cell

CIF file:
```
data_GeCSe2
_cell_length_a 6.503
_cell_length_b 6.503
_cell_length_c 6.503
_cell_angle_alpha 90.00
_cell_angle_beta 90.00
_cell_angle_gamma 90.00
_space_group_name_H-M_alt 'F m -3 m'
_space_group_IT_number 225
_space_group_name_Hall '-F 4 2 3'
loop_
_atom_site_label
_atom_site_fract_x
_atom_site_fract_y
_atom_site_fract_z
Ge1 0.000 0.000 0.000
C1 0.000 0.000 0.500
Se1 0.250 0.250 0.250
```

--- x ---
Below is GeCSe2 after structural relaxation, with properties calculated at the PBE level.

Calculated values
spin magnetization	0.00	μB/f.u.
D(E_F)	3.93	states/eV per cell

CIF file:
```
data_GeCSe2
_cell_length_a 6.126
_cell_length_b 6.126
_cell_length_c 8.987
_cell_angle_alpha 90.00
_cell_angle_beta 90.00
_cell_angle_gamma 90.00
_space_group_name_H-M_alt 'I -4 2 d'
_space_group_IT_number 122
_space_group_name_Hall 'I -4 2bw'
loop_
_atom_site_label
_atom_site_fract_x
_atom_site_fract_y
_atom_site_fract_z
Ge1 0.000 0.000 0.000
C1 0.000 0.000 0.500
Se1 0.165 0.250 0.625
```

Quick ranking, most stable first: x, w.

--- w ---
Below is Ge2CSe2 after structural relaxation, with properties calculated at the PBE level.

Calculated values
spin magnetization	0.61	μB/f.u.
D(E_F)	6.82	states/eV per cell

CIF file:
```
data_Ge2CSe2
_cell_length_a 5.480
_cell_length_b 5.480
_cell_length_c 6.659
_cell_angle_alpha 90.00
_cell_angle_beta 90.00
_cell_angle_gamma 90.00
_space_group_name_H-M_alt 'I 4/m m m'
_space_group_IT_number 139
_space_group_name_Hall '-I 4 2'
loop_
_atom_site_label
_atom_site_fract_x
_atom_site_fract_y
_atom_site_fract_z
Ge1 0.000 0.000 0.213
C1 0.000 0.000 0.500
Se1 0.000 0.500 0.250
```

--- x ---
Below is Ge2CSe2 after structural relaxation, with properties calculated at the PBE level.

Calculated values
spin magnetization	0.00	μB/f.u.
D(E_F)	5.56	states/eV per cell

CIF file:
```
data_Ge2CSe2
_cell_length_a 5.625
_cell_length_b 5.625
_cell_length_c 5.737
_cell_angle_alpha 90.00
_cell_angle_beta 90.00
_cell_angle_gamma 90.00
_space_group_name_H-M_alt 'P 4/m b m'
_space_group_IT_number 127
_space_group_name_Hall '-P 4 2ab'
loop_
_atom_site_label
_atom_site_fract_x
_atom_site_fract_y
_atom_site_fract_z
Ge1 0.168 0.332 0.000
C1 0.000 0.000 0.000
Se1 0.235 0.265 0.500
```

Quick ranking, most stable first: x, w.

--- w ---
Below is GeC3Se after structural relaxation, with properties calculated at the PBE level.

Calculated values
spin magnetization	0.00	μB/f.u.
D(E_F)	3.18	states/eV per cell

CIF file:
```
data_GeC3Se
_cell_length_a 3.940
_cell_length_b 3.940
_cell_length_c 3.940
_cell_angle_alpha 90.00
_cell_angle_beta 90.00
_cell_angle_gamma 90.00
_space_group_name_H-M_alt 'P m -3 m'
_space_group_IT_number 221
_space_group_name_Hall '-P 4 2 3'
loop_
_atom_site_label
_atom_site_fract_x
_atom_site_fract_y
_atom_site_fract_z
Ge1 0.000 0.000 0.000
C1 0.000 0.500 0.500
Se1 0.500 0.500 0.500
```

--- x ---
Below is GeC3Se after structural relaxation, with properties calculated at the PBE level.

Calculated values
spin magnetization	0.00	μB/f.u.
D(E_F)	4.55	states/eV per cell

CIF file:
```
data_GeC3Se
_cell_length_a 4.008
_cell_length_b 4.008
_cell_length_c 4.008
_cell_angle_alpha 90.00
_cell_angle_beta 90.00
_cell_angle_gamma 90.00
_space_group_name_H-M_alt 'P m -3 m'
_space_group_IT_number 221
_space_group_name_Hall '-P 4 2 3'
loop_
_atom_site_label
_atom_site_fract_x
_atom_site_fract_y
_atom_site_fract_z
Ge1 0.000 0.000 0.000
C1 0.000 0.000 0.500
Se1 0.500 0.500 0.500
```

Quick ranking, most stable first: x, w.